# 1
# GGA-PBE PrSmMgSi, optimized geometry
# - Volume: 25.4 Å³/atom
# - DFT total energy: -70.55 eV for the cell shown
data_PrSmMgSi
_cell_length_a 7.410
_cell_length_b 7.410
_cell_length_c 7.410
_cell_angle_alpha 90.00
_cell_angle_beta 90.00
_cell_angle_gamma 90.00
_space_group_name_H-M_alt 'F -4 3 m'
_space_group_IT_number 216
_space_group_name_Hall 'F -4 2 3'
loop_
_atom_site_label
_atom_site_fract_x
_atom_site_fract_y
_atom_site_fract_z
_atom_site_occupancy
Pr1 0.000 0.000 0.000 1
Sm1 0.000 0.000 0.500 1
Mg1 0.250 0.250 0.750 1
Si1 0.250 0.250 0.250 1

# 2
# GGA-PBE TaBeW3, optimized geometry
# - Volume: 15.7 Å³/atom
# - DFT total energy: -50.91 eV for the cell shown
# - Energy of formation from the pure elements: 3.524 eV per formula unit
# - Distance to the lowest polymorph of the same formula: 0.0000 eV per atom
data_TaBeW3
_cell_length_a 4.284
_cell_length_b 4.284
_cell_length_c 4.284
_cell_angle_alpha 90.00
_cell_angle_beta 90.00
_cell_angle_gamma 90.00
_space_group_name_H-M_alt 'P m -3 m'
_space_group_IT_number 221
_space_group_name_Hall '-P 4 2 3'
loop_
_atom_site_label
_atom_site_fract_x
_atom_site_fract_y
_atom_site_fract_z
_atom_site_occupancy
Ta1 0.000 0.000 0.000 1
Be1 0.500 0.500 0.500 1
W1 0.000 0.500 0.500 1

# 3
# GGA-PBE La2DyNb, optimized geometry
# - Volume: 29.1 Å³/atom
# - DFT total energy: -66.76 eV for the cell shown
# - Energy of formation from the pure elements: 2.273 eV per formula unit
data_La2DyNb
_cell_length_a 3.3418
_cell_length_b 3.3418
_cell_length_c 36.0916
_cell_angle_alpha 90.00
_cell_angle_beta 90.00
_cell_angle_gamma 120.00
_space_group_name_H-M_alt 'R -3 m'
_space_group_IT_number 166
_space_group_name_Hall '-R 3 2"'
loop_
_atom_site_label
_atom_site_fract_x
_atom_site_fract_y
_atom_site_fract_z
_atom_site_occupancy
La1 0.0000 0.0000 0.0801 1
Dy1 0.0000 0.0000 0.5000 1
Nb1 0.0000 0.0000 0.0000 1

# 4
# GGA-PBE Pm8ZnRh3Br4, optimized geometry
# - Volume: 28.7 Å³/atom
# - DFT total energy: -250.17 eV for the cell shown
data_Pm8ZnRh3Br4
_cell_length_a 8.2943
_cell_length_b 8.2943
_cell_length_c 23.1523
_cell_angle_alpha 90.00
_cell_angle_beta 90.00
_cell_angle_gamma 120.00
_space_group_name_H-M_alt 'R -3 m'
_space_group_IT_number 166
_space_group_name_Hall '-R 3 2"'
loop_
_atom_site_label
_atom_site_fract_x
_atom_site_fract_y
_atom_site_fract_z
_atom_site_occupancy
Pm1 0.0000 0.0000 0.2333 1
Pm2 0.0123 0.5061 0.7675 1
Zn1 0.0000 0.0000 0.5000 1
Rh1 0.0000 0.5000 0.5000 1
Br1 0.0000 0.0000 0.0000 1
Br2 0.0000 0.5000 0.0000 1

# 5
# GGA-PBE LaY2HoS6, optimized geometry
# - Volume: 26.4 Å³/atom
# - DFT total energy: -204.01 eV for the cell shown
data_LaY2HoS6
_cell_length_a 7.0210
_cell_length_b 7.0210
_cell_length_c 18.5743
_cell_angle_alpha 90.00
_cell_angle_beta 90.00
_cell_angle_gamma 120.00
_space_group_name_H-M_alt 'R 3'
_space_group_IT_number 146
_space_group_name_Hall 'R 3'
loop_
_atom_site_label
_atom_site_fract_x
_atom_site_fract_y
_atom_site_fract_z
_atom_site_occupancy
La1 0.0000 0.0000 0.0000 1
Y1 0.0000 0.0000 0.2886 1
Y2 0.0000 0.0000 0.7935 1
Ho1 0.0000 0.0000 0.4914 1
S1 0.0008 0.3054 0.8898 1
S2 0.0260 0.7224 0.3905 1

# 6
# GGA-PBE La2SiOs, optimized geometry
# - Volume: 29.6 Å³/atom
# - DFT total energy: -56.74 eV for the cell shown
data_La2SiOs
_cell_length_a 7.306
_cell_length_b 4.237
_cell_length_c 8.046
_cell_angle_alpha 90.00
_cell_angle_beta 108.05
_cell_angle_gamma 90.00
_space_group_name_H-M_alt 'C 1 m 1'
_space_group_IT_number 8
loop_
_space_group_symop_operation_xyz
'x,y,z'
'x,-y,z'
'x+1/2,y+1/2,z'
'x+1/2,-y+1/2,z'
loop_
_atom_site_label
_atom_site_fract_x
_atom_site_fract_y
_atom_site_fract_z
_atom_site_occupancy
La1 0.000 0.000 0.000 1
La2 0.170 0.000 0.498 1
Si1 0.251 0.500 0.249 1
Os1 0.417 0.000 0.249 1

# 7
# GGA-PBE Sm2ThZn4, optimized geometry
# - Volume: 25.4 Å³/atom
# - DFT total energy: -45.01 eV for the cell shown
# - Energy of formation from the pure elements: -0.552 eV per formula unit
data_Sm2ThZn4
_cell_length_a 5.326
_cell_length_b 5.326
_cell_length_c 12.554
_cell_angle_alpha 90.00
_cell_angle_beta 90.00
_cell_angle_gamma 90.00
_space_group_name_H-M_alt 'I 4/m m m'
_space_group_IT_number 139
_space_group_name_Hall '-I 4 2'
loop_
_atom_site_label
_atom_site_fract_x
_atom_site_fract_y
_atom_site_fract_z
_atom_site_occupancy
Sm1 0.000 0.000 0.219 1
Th1 0.000 0.000 0.500 1
Zn1 0.000 0.500 0.111 1

# 8
# GGA-PBE LaSmDy4, optimized geometry
# - Volume: 32.8 Å³/atom
# - DFT total energy: -55.80 eV for the cell shown
# - Energy of formation from the pure elements: 0.154 eV per formula unit
# - Distance to the lowest polymorph of the same formula: 0.0000 eV per atom
data_LaSmDy4
_cell_length_a 11.363
_cell_length_b 5.077
_cell_length_c 7.191
_cell_angle_alpha 90.00
_cell_angle_beta 108.44
_cell_angle_gamma 90.00
_space_group_name_H-M_alt 'C 1 2/m 1'
_space_group_IT_number 12
loop_
_space_group_symop_operation_xyz
'x,y,z'
'-x,-y,-z'
'-x,y,-z'
'x,-y,z'
'x+1/2,y+1/2,z'
'-x+1/2,-y+1/2,-z'
'-x+1/2,y+1/2,-z'
'x+1/2,-y+1/2,z'
loop_
_atom_site_label
_atom_site_fract_x
_atom_site_fract_y
_atom_site_fract_z
_atom_site_occupancy
La1 0.000 0.000 0.000 1
Sm1 0.000 0.000 0.500 1
Dy1 0.167 0.500 0.832 1
Dy2 0.169 0.500 0.336 1